[1]
DFT (PBE) results for an optimized crystal structure of ScSi2Br.

Properties
The crystal system is tetragonal. For the mass density, the calculation gives 3.84 Mg/m³. The value obtained for the raw formation energy is 0.123 eV per atom. As for the total moment: 0.00 μB/atom. The value obtained for the energy above the most stable polymorph in this dataset is 0.749 eV per atom. Its density of states at the Fermi level is 2.8 states/eV/cell.

Lattice parameters (Å, degrees): 4.6738 4.6738 4.6738 111.50 111.50 105.49
Closest atoms and distances in Å follow each position.
Atoms (fractional coordinates):
Si 0.2500 0.7500 0.5000  2 Sc 2.83, 4 Si 2.99, 4 Br 2.99
Si 0.0000 0.0000 0.0000  2 Br 2.83, 4 Sc 2.99, 4 Si 2.99
Br 0.5000 0.5000 0.0000  6 Si 2.83-2.99, 4 Sc 2.99
Sc 0.7500 0.2500 0.5000  6 Si 2.83-2.99, 4 Br 2.99



[2]
DFT (PBE) results for an optimized crystal structure of ScSiBr2.

Properties
The crystal system is cubic. For the mass density, the calculation gives 4.11 Mg/m³. The value obtained for the raw formation energy is 0.069 eV per atom. As for the total moment: 0.63 μB/atom. The value obtained for the energy above the most stable polymorph in this dataset is 0.783 eV per atom. Its density of states at the Fermi level is 2.5 states/eV/cell.

Lattice parameters (Å, degrees): 5.1030 5.1030 5.1030 60.00 60.00 60.00
Closest atoms and distances in Å follow each position.
Atoms (fractional coordinates):
Br 0.7500 0.7500 0.7500  4 Br 3.12, 4 Sc 3.12
Br 0.0000 0.0000 0.0000  4 Br 3.12, 4 Si 3.12
Si 0.2500 0.2500 0.2500  4 Br 3.12, 4 Sc 3.12
Sc 0.5000 0.5000 0.5000  4 Br 3.12, 4 Si 3.12



[3]
DFT (PBE) results for an optimized crystal structure of ScSi2Br.

Properties
The crystal system is monoclinic. For the mass density, the calculation gives 3.00 Mg/m³. The value obtained for the raw formation energy is -0.236 eV per atom. As for the total moment: 0.00 μB/atom. The value obtained for the energy above the most stable polymorph in this dataset is 0.391 eV per atom. Its density of states at the Fermi level is 0.4 states/eV/cell.

Lattice parameters (Å, degrees): 5.3356 5.3356 5.3652 90.07 90.07 40.94
Closest atoms and distances in Å follow each position.
Atoms (fractional coordinates):
Sc 0.7500 0.7500 0.7500  4 Si 2.73
Si 0.0541 0.0541 0.8119  2 Si 2.26
Si 0.4459 0.4459 0.6881  2 Si 2.26
Br 0.2500 0.2500 0.2500  2 Si 3.06, 4 Sc 3.27



[4]
DFT (PBE) results for an optimized crystal structure of ScSi4Br.

Properties
The crystal system is cubic. For the mass density, the calculation gives 3.86 Mg/m³. The value obtained for the raw formation energy is 0.049 eV per atom. As for the total moment: 0.00 μB/atom. Its density of states at the Fermi level is 3.6 states/eV/cell.

Lattice parameters (Å, degrees): 5.2446 5.2446 5.2446 60.00 60.00 60.00
Closest atoms and distances in Å follow each position.
Atoms (fractional coordinates):
Si 0.3770 0.3770 0.3770  6 Si 2.58-2.66
Si 0.8689 0.3770 0.3770  6 Si 2.58-2.66
Si 0.3770 0.8689 0.3770  6 Si 2.58-2.66
Si 0.3770 0.3770 0.8689  6 Si 2.58-2.66
Sc 0.0000 0.0000 0.0000  12 Si 3.08, 4 Br 3.21
Br 0.7500 0.7500 0.7500  12 Si 3.07, 4 Sc 3.21



[5]
DFT (PBE) results for an optimized crystal structure of ScSi2Br.

Properties
The crystal system is tetragonal. For the mass density, the calculation gives 3.64 Mg/m³. The value obtained for the raw formation energy is -0.093 eV per atom. As for the total moment: 0.00 μB/atom. The value obtained for the energy above the most stable polymorph in this dataset is 0.534 eV per atom. Its density of states at the Fermi level is 2.5 states/eV/cell.

Lattice parameters (Å, degrees): 3.9775 3.9773 5.2162 90.00 90.00 90.00
Closest atoms and distances in Å follow each position.
Atoms (fractional coordinates):
Si 0.0000 0.0000 0.5319  1 Si 2.27
Si 0.0000 0.0000 0.9681  1 Si 2.27
Sc 0.5000 0.5000 0.7500  2 Br 2.61
Br 0.5000 0.5000 0.2500  2 Sc 2.61



[6]
DFT (PBE) results for an optimized crystal structure of ScSiBr2.

Properties
The crystal system is orthorhombic. For the mass density, the calculation gives 3.80 Mg/m³. The value obtained for the raw formation energy is -0.217 eV per atom. As for the total moment: 0.00 μB/atom. The value obtained for the energy above the most stable polymorph in this dataset is 0.497 eV per atom. Its density of states at the Fermi level is 2.8 states/eV/cell.

Lattice parameters (Å, degrees): 3.5206 3.5206 9.6975 90.00 90.00 122.23
Closest atoms and distances in Å follow each position.
Atoms (fractional coordinates):
Br 0.0000 0.0000 0.4642  2 Sc 2.68
Br 0.0000 0.0000 0.0358  2 Sc 2.68
Sc 0.5000 0.5000 0.2500  4 Br 2.68
Si 0.5000 0.5000 0.7500  4 Br 3.25, 6 Si 3.40-3.52



[7]
DFT (PBE) results for an optimized crystal structure of ScSiBr2.

Properties
The crystal system is tetragonal. For the mass density, the calculation gives 4.25 Mg/m³. The value obtained for the raw formation energy is -0.074 eV per atom. As for the total moment: 0.00 μB/atom. The value obtained for the energy above the most stable polymorph in this dataset is 0.640 eV per atom. Its density of states at the Fermi level is 2.1 states/eV/cell.

Lattice parameters (Å, degrees): 4.5377 4.5377 4.4189 90.00 90.00 90.00
Closest atoms and distances in Å follow each position.
Atoms (fractional coordinates):
Br 0.0000 0.0000 0.0000  4 Sc 3.17, 4 Si 3.17, 4 Br 3.21
Br 0.5000 0.5000 0.0000  4 Sc 3.17, 4 Si 3.17, 4 Br 3.21
Si 0.0000 0.5000 0.5000  8 Br 3.17, 4 Sc 3.21
Sc 0.5000 0.0000 0.5000  8 Br 3.17, 4 Si 3.21



[8]
DFT (PBE) results for an optimized crystal structure of ScSiBr2.

Properties
The crystal system is tetragonal. For the mass density, the calculation gives 3.28 Mg/m³. The value obtained for the raw formation energy is -0.351 eV per atom. As for the total moment: 0.00 μB/atom. The value obtained for the energy above the most stable polymorph in this dataset is 0.363 eV per atom. Its density of states at the Fermi level is 3.2 states/eV/cell.

Lattice parameters (Å, degrees): 3.2484 3.2486 11.1706 90.00 90.00 90.00
Closest atoms and distances in Å follow each position.
Atoms (fractional coordinates):
Si 0.5000 0.5000 0.7500  4 Si 3.25
Sc 0.5000 0.5000 0.2500  8 Br 2.84
Br 0.0000 0.0000 0.1009  4 Sc 2.84
Br 0.0000 0.0000 0.3991  4 Sc 2.84



[9]
DFT (PBE) results for an optimized crystal structure of ScSiBr2.

Properties
The crystal system is tetragonal. For the mass density, the calculation gives 4.33 Mg/m³. The value obtained for the raw formation energy is -0.118 eV per atom. As for the total moment: 0.00 μB/atom. The value obtained for the energy above the most stable polymorph in this dataset is 0.595 eV per atom. Its density of states at the Fermi level is 2.3 states/eV/cell.

Lattice parameters (Å, degrees): 5.3761 5.3761 5.3761 129.83 129.83 73.67
Closest atoms and distances in Å follow each position.
Atoms (fractional coordinates):
Br 0.0000 0.0000 0.0000  4 Si 3.13, 4 Sc 3.13, 4 Br 3.22
Br 0.5000 0.5000 0.0000  4 Sc 3.13, 4 Si 3.13, 4 Br 3.22
Si 0.7500 0.2500 0.5000  8 Br 3.13, 4 Sc 3.22
Sc 0.2500 0.7500 0.5000  8 Br 3.13, 4 Si 3.22



[10]
DFT (PBE) results for an optimized crystal structure of ScSiBr2.

Properties
The crystal system is tetragonal. For the mass density, the calculation gives 3.04 Mg/m³. The value obtained for the raw formation energy is -0.398 eV per atom. As for the total moment: 0.25 μB/atom. The value obtained for the energy above the most stable polymorph in this dataset is 0.316 eV per atom. Its density of states at the Fermi level is 3.0 states/eV/cell.

Lattice parameters (Å, degrees): 9.6718 9.6718 7.3605 48.93 48.93 90.00
Closest atoms and distances in Å follow each position.
Atoms (fractional coordinates):
Si 0.5000 0.5000 0.0000  2 Sc 2.72
Si 0.2500 0.7500 0.5000  2 Sc 2.72
Br 0.3750 0.2251 0.7500  2 Sc 2.69
Br 0.8750 0.0249 0.7500  2 Sc 2.69
Br 0.9751 0.6250 0.2500  2 Sc 2.69
Br 0.7749 0.1250 0.2500  2 Sc 2.69
Sc 0.7500 0.2500 0.5000  4 Br 2.69, 2 Si 2.72
Sc 0.0000 0.0000 0.0000  4 Br 2.69, 2 Si 2.72



[11]
DFT (PBE) results for an optimized crystal structure of ScSiBr2.

Properties
The crystal system is cubic. For the mass density, the calculation gives 4.51 Mg/m³. The value obtained for the raw formation energy is -0.115 eV per atom. As for the total moment: 0.00 μB/atom. The value obtained for the energy above the most stable polymorph in this dataset is 0.598 eV per atom. Its density of states at the Fermi level is 3.1 states/eV/cell.

Lattice parameters (Å, degrees): 4.9497 4.9497 4.9497 60.00 60.00 60.00
Closest atoms and distances in Å follow each position.
Atoms (fractional coordinates):
Br 0.2500 0.2500 0.2500  4 Sc 3.03, 4 Si 3.03
Br 0.7500 0.7500 0.7500  4 Sc 3.03, 4 Si 3.03
Sc 0.5000 0.5000 0.5000  8 Br 3.03
Si 0.0000 0.0000 0.0000  8 Br 3.03



[12]
DFT (PBE) results for an optimized crystal structure of ScSiBr2.

Properties
The crystal system is monoclinic. For the mass density, the calculation gives 4.08 Mg/m³. The value obtained for the raw formation energy is -0.271 eV per atom. As for the total moment: 0.00 μB/atom. The value obtained for the energy above the most stable polymorph in this dataset is 0.443 eV per atom. Its density of states at the Fermi level is 1.7 states/eV/cell.

Lattice parameters (Å, degrees): 4.6995 3.7761 5.3424 90.16 90.00 90.00
Closest atoms and distances in Å follow each position.
Atoms (fractional coordinates):
Si 0.5000 0.7500 0.7500  4 Br 2.91
Sc 0.5000 0.2500 0.2500  4 Br 2.82
Br 0.0000 0.4717 0.4966  2 Sc 2.82, 2 Si 2.91, 1 Br 3.12
Br 0.0000 0.0283 0.0034  2 Sc 2.82, 2 Si 2.91, 1 Br 3.12